Below is crystalline DyPb3 at its relaxed geometry, with properties calculated at the GGA-PBE level.

```
4
Lattice="-1.796 5.686 2.875 1.796 -5.686 2.875 1.796 5.686 -2.875" Properties=species:S:1:pos:R:3 pbc="T T T"
Dy 0.000 0.000 0.000
Pb 1.796 2.818 -0.875
Pb 1.796 0.000 2.810
Pb 0.000 2.868 2.000
```

Energy of formation: -0.218 eV per atom
Symmetry: Imm2 (44)
Magnetic moment: 0.0 Bohr magnetons per cell

Below is crystalline Dy2Pb3 at its relaxed geometry, with properties calculated at the GGA-PBE level.

```
10
Lattice="0.000 7.926 3.245 5.559 0.000 3.245 5.559 7.926 0.000" Properties=species:S:1:pos:R:3 pbc="T T T"
Dy 5.983 4.789 3.245
Dy 7.914 8.752 4.868
Dy 5.134 11.062 3.245
Dy 8.763 15.025 4.868
Pb 4.898 1.619 3.043
Pb 2.118 2.344 1.421
Pb 3.441 5.582 1.421
Pb 5.559 7.926 2.856
Pb 8.338 11.888 4.478
Pb 6.220 14.232 3.043
```

Energy of formation: -0.383 eV per atom
Excess energy over the best structure of this formula in the dataset: 0.00 kcal/mol of atoms
Symmetry: Fdd2 (43)
Magnetic moment: 0.0 Bohr magnetons per cell

Below is crystalline DyPb5 at its relaxed geometry, with properties calculated at the GGA-PBE level.

```
6
Lattice="3.007 -5.330 0.000 3.007 5.330 0.000 -1.856 0.000 5.646" Properties=species:S:1:pos:R:3 pbc="T T T"
Dy 0.000 0.000 0.000
Pb 2.079 3.618 2.823
Pb 3.007 1.831 0.000
Pb 2.079 0.000 2.823
Pb 3.007 -1.831 0.000
Pb 2.079 -3.618 2.823
```

Energy of formation: -0.118 eV per atom
Excess energy over the best structure of this formula in the dataset: 0.63 kcal/mol of atoms
Symmetry: C2/m (12)
Magnetic moment: 0.0 Bohr magnetons per cell